(1)
Computed, not measured: an optimized crystal structure of Sm3Y4In at the GGA-PBE level of DFT.

a = 8.3857 Å, b = 7.1114 Å, c = 8.4507 Å
α = 90.00°, β = 95.34°, γ = 90.00°
Closest atoms and distances in Å follow each position.
Fractional positions:
Sm (0.0000, 0.0000, 0.0000)  1 In 3.38, 7 Y 3.49-3.56, 4 Sm 3.64-3.69
Sm (0.2438, 0.2393, 0.7283)  5 Sm 3.40-3.71, 2 In 3.42-3.65, 5 Y 3.42-3.63
Sm (0.2438, 0.7607, 0.7283)  5 Sm 3.40-3.71, 2 In 3.42-3.65, 5 Y 3.42-3.63
Sm (0.5750, 0.5000, 0.8801)  1 In 3.44, 4 Sm 3.48-3.53, 7 Y 3.49-3.72
Sm (0.8248, 0.2477, 0.6407)  5 Y 3.37-3.69, 2 In 3.50-3.59, 5 Sm 3.52-3.69
Sm (0.8248, 0.7523, 0.6407)  5 Y 3.37-3.69, 2 In 3.50-3.59, 5 Sm 3.52-3.69
Y (0.0966, 0.5000, 0.3947)  3 In 3.33-3.56, 5 Y 3.42-3.59, 4 Sm 3.50-3.69
Y (0.3328, 0.2575, 0.1562)  2 In 3.36-3.56, 7 Y 3.42-3.66, 3 Sm 3.49-3.66
Y (0.3328, 0.7425, 0.1562)  2 In 3.36-3.56, 7 Y 3.42-3.66, 3 Sm 3.49-3.66
Y (0.4803, 0.0000, 0.4874)  3 In 3.32-3.56, 4 Sm 3.42-3.53, 5 Y 3.48-3.68
Y (0.5846, 0.0000, 0.9130)  5 Y 3.49-3.62, 7 Sm 3.49-3.65
Y (0.7513, 0.2516, 0.2419)  3 Sm 3.37-3.72, 2 In 3.48-3.52, 7 Y 3.49-3.68
Y (0.7513, 0.7484, 0.2419)  3 Sm 3.37-3.72, 2 In 3.48-3.52, 7 Y 3.49-3.68
Y (0.9898, 0.5000, 0.9731)  7 Sm 3.49-3.62, 5 Y 3.58-3.62
In (0.0856, 0.0000, 0.3988)  7 Y 3.32-3.56, 5 Sm 3.38-3.59
In (0.4930, 0.5000, 0.4731)  7 Y 3.33-3.56, 5 Sm 3.44-3.65

Its space group is Pm. The calculation puts the calculated formation energy at -0.11 eV per atom.

---

(2)
Computed, not measured: an optimized crystal structure of Hg2PdRu at the GGA-PBE level of DFT.

a = 10.1299 Å, b = 10.1299 Å, c = 10.1299 Å
α = 156.91°, β = 156.91°, γ = 32.88°
Closest atoms and distances in Å follow each position.
Fractional positions:
Hg (0.1238, 0.6250, 0.9988)  2 Ru 2.82, 2 Pd 2.82, 4 Hg 2.86-2.87
Hg (0.3750, 0.3738, 0.4988)  2 Ru 2.82, 2 Pd 2.82, 4 Hg 2.86-2.87
Hg (0.6262, 0.1250, 0.0012)  2 Ru 2.82, 2 Pd 2.82, 4 Hg 2.86-2.87
Hg (0.8750, 0.8762, 0.5012)  2 Ru 2.82, 2 Pd 2.82, 4 Hg 2.86-2.87
Pd (0.2500, 0.7500, 0.5000)  4 Hg 2.82, 4 Ru 2.87
Pd (0.5000, 0.5000, 0.0000)  4 Hg 2.82, 4 Ru 2.87
Ru (0.0000, 0.0000, 0.0000)  4 Hg 2.82, 4 Pd 2.87
Ru (0.7500, 0.2500, 0.5000)  4 Hg 2.82, 4 Pd 2.87

Its offset from the most stable computed form is 318 meV/atom. Its space group is I-42d. The calculation puts the calculated formation energy at 0.64 eV per atom.

---

(3)
Computed, not measured: an optimized crystal structure of LaCuF3 at the GGA-PBE level of DFT.

a = 4.6940 Å, b = 4.6940 Å, c = 4.6940 Å
α = 90.00°, β = 90.00°, γ = 90.00°
Closest atoms and distances in Å follow each position.
Fractional positions:
La (0.0000, 0.0000, 0.0000)  6 F 2.35
Cu (0.5000, 0.5000, 0.5000)  12 F 3.32
F (0.0000, 0.0000, 0.5000)  2 La 2.35
F (0.0000, 0.5000, 0.0000)  2 La 2.35
F (0.5000, 0.0000, 0.0000)  2 La 2.35

Its offset from the most stable computed form is 0 meV/atom. Its space group is Pm-3m. For the energy relative to the elements, uncorrected, the calculation gives -2.6050 eV per atom.

---

(4)
Computed, not measured: an optimized crystal structure of AlTcNi2 at the GGA-PBE level of DFT.

a = 2.8851 Å, b = 2.8851 Å, c = 5.9841 Å
α = 90.00°, β = 90.00°, γ = 90.00°
Closest atoms and distances in Å follow each position.
Fractional positions:
Al (0.0000, 0.0000, 0.0000)  4 Ni 2.43, 4 Tc 2.69
Tc (0.5000, 0.5000, 0.7065)  4 Ni 2.50, 4 Al 2.69
Ni (0.0000, 0.0000, 0.4652)  4 Tc 2.50, 4 Ni 2.51, 1 Al 2.78
Ni (0.5000, 0.5000, 0.2211)  4 Al 2.43, 4 Ni 2.51

Its space group is P4mm. The calculation puts the calculated formation energy at -0.23 eV per atom.

---

(5)
Computed, not measured: an optimized crystal structure of PrDy4Hg4 at the GGA-PBE level of DFT.

a = 9.6171 Å, b = 9.6171 Å, c = 5.5278 Å
α = 90.00°, β = 90.00°, γ = 90.00°
Closest atoms and distances in Å follow each position.
Fractional positions:
Pr (0.2500, 0.2500, 0.2500)  4 Hg 3.21, 4 Dy 3.52
Pr (0.7500, 0.7500, 0.7500)  4 Hg 3.21, 4 Dy 3.52
Dy (0.1010, 0.8393, 0.6637)  4 Hg 3.09-3.14, 1 Dy 3.34
Dy (0.1607, 0.6010, 0.1637)  4 Hg 3.09-3.14, 1 Dy 3.34
Dy (0.3393, 0.8990, 0.1637)  4 Hg 3.09-3.14, 1 Dy 3.34
Dy (0.3990, 0.6607, 0.6637)  4 Hg 3.09-3.14, 1 Dy 3.34
Dy (0.6010, 0.3393, 0.3363)  4 Hg 3.09-3.14, 1 Dy 3.34
Dy (0.6607, 0.1010, 0.8363)  4 Hg 3.09-3.14, 1 Dy 3.34
Dy (0.8393, 0.3990, 0.8363)  4 Hg 3.09-3.14, 1 Dy 3.34
Dy (0.8990, 0.1607, 0.3363)  4 Hg 3.09-3.14, 1 Dy 3.34
Hg (0.0409, 0.1442, 0.8364)  4 Dy 3.09-3.14, 1 Pr 3.21, 3 Hg 3.33-3.40
Hg (0.1442, 0.4591, 0.6636)  4 Dy 3.09-3.14, 1 Pr 3.21, 3 Hg 3.33-3.40
Hg (0.3558, 0.0409, 0.6636)  4 Dy 3.09-3.14, 1 Pr 3.21, 3 Hg 3.33-3.40
Hg (0.4591, 0.3558, 0.8364)  4 Dy 3.09-3.14, 1 Pr 3.21, 3 Hg 3.33-3.40
Hg (0.5409, 0.6442, 0.1636)  4 Dy 3.09-3.14, 1 Pr 3.21, 3 Hg 3.33-3.40
Hg (0.6442, 0.9591, 0.3364)  4 Dy 3.09-3.14, 1 Pr 3.21, 3 Hg 3.33-3.40
Hg (0.8558, 0.5409, 0.3364)  4 Dy 3.09-3.14, 1 Pr 3.21, 3 Hg 3.33-3.40
Hg (0.9591, 0.8558, 0.1636)  4 Dy 3.09-3.14, 1 Pr 3.21, 3 Hg 3.33-3.40

Its space group is P4_2/n. The calculation puts the calculated formation energy at -0.26 eV per atom.

---

(6)
Computed, not measured: an optimized crystal structure of TiNb2Ga at the GGA-PBE level of DFT.

a = 9.5871 Å, b = 9.5871 Å, c = 9.5871 Å
α = 17.72°, β = 17.72°, γ = 17.72°
Closest atoms and distances in Å follow each position.
Fractional positions:
Ti (0.0000, 0.0000, 0.0000)  6 Nb 2.95-2.96, 6 Ti 2.95
Nb (0.2483, 0.2483, 0.2483)  3 Ga 2.86, 3 Ti 2.95, 6 Nb 2.95
Nb (0.4189, 0.4189, 0.4189)  3 Ga 2.87, 6 Nb 2.95, 3 Ti 2.96
Ga (0.8336, 0.8336, 0.8336)  6 Nb 2.86-2.87, 6 Ga 2.95

Its space group is R3m. The calculation puts the calculated formation energy at 0.01 eV per atom.

---

(7)
Computed, not measured: an optimized crystal structure of TiMn2I8 at the GGA-PBE level of DFT.

a = 8.7779 Å, b = 8.7779 Å, c = 7.2064 Å
α = 92.35°, β = 92.35°, γ = 67.68°
Closest atoms and distances in Å follow each position.
Fractional positions:
Ti (0.0000, 0.0000, 0.0000)  6 I 2.79-2.81, 2 Mn 3.12
Mn (0.2010, 0.2010, 0.1682)  4 I 2.54-2.74
Mn (0.7990, 0.7990, 0.8318)  4 I 2.54-2.74
I (0.1246, 0.7201, 0.7677)  1 Mn 2.73, 1 Ti 2.79
I (0.1584, 0.1584, 0.7943)  1 Mn 2.74, 1 Ti 2.81
I (0.2799, 0.8754, 0.2323)  1 Mn 2.73, 1 Ti 2.79
I (0.3640, 0.3640, 0.3116)  1 Mn 2.54
I (0.6360, 0.6360, 0.6884)  1 Mn 2.54
I (0.7201, 0.1246, 0.7677)  1 Mn 2.73, 1 Ti 2.79
I (0.8416, 0.8416, 0.2057)  1 Mn 2.74, 1 Ti 2.81
I (0.8754, 0.2799, 0.2323)  1 Mn 2.73, 1 Ti 2.79

Its space group is C2/m. For the energy relative to the elements, uncorrected, the calculation gives -0.4948 eV per atom.

---

(8)
Computed, not measured: an optimized crystal structure of Ba2FeB at the GGA-PBE level of DFT.

a = 6.6848 Å, b = 6.6848 Å, c = 6.6848 Å
α = 105.50°, β = 105.50°, γ = 117.74°
Closest atoms and distances in Å follow each position.
Fractional positions:
Ba (0.1177, 0.6250, 0.9927)  2 B 2.95, 2 Fe 3.03
Ba (0.3750, 0.3677, 0.4927)  2 B 2.95, 2 Fe 3.03
Ba (0.6323, 0.1250, 0.0073)  2 B 2.95, 2 Fe 3.03
Ba (0.8750, 0.8823, 0.5073)  2 B 2.95, 2 Fe 3.03
Fe (0.2500, 0.7500, 0.5000)  4 Ba 3.03
Fe (0.5000, 0.5000, 0.0000)  4 Ba 3.03
B (0.0000, 0.0000, 0.0000)  4 Ba 2.95
B (0.7500, 0.2500, 0.5000)  4 Ba 2.95

Its space group is I-42d. The calculation puts the calculated formation energy at 1.50 eV per atom.

---

(9)
Computed, not measured: an optimized crystal structure of Re2RuPb at the GGA-PBE level of DFT.

a = 2.8576 Å, b = 3.9680 Å, c = 6.3648 Å
α = 90.00°, β = 97.77°, γ = 90.00°
Closest atoms and distances in Å follow each position.
Fractional positions:
Re (0.0559, 0.0000, 0.1912)  1 Re 2.41
Re (0.9441, 0.0000, 0.8088)  1 Re 2.41
Ru (0.5000, 0.5000, 0.0000)  8 Re 2.72-2.73, 2 Ru 2.86
Pb (0.5000, 0.5000, 0.5000)  2 Pb 2.86, 4 Re 2.96, 2 Ru 3.18

Its space group is P2/m. The calculation puts the calculated formation energy at 0.71 eV per atom.

---

(10)
Computed, not measured: an optimized crystal structure of AsIrOs2 at the GGA-PBE level of DFT.

a = 2.7610 Å, b = 2.7610 Å, c = 9.3659 Å
α = 90.00°, β = 90.00°, γ = 120.24°
Closest atoms and distances in Å follow each position.
Fractional positions:
As (0.0000, 0.0000, 0.0000)  2 Ir 2.73, 6 As 2.75-2.76, 2 Os 2.81
Ir (0.5000, 0.5000, 0.7483)  2 Os 2.70, 2 As 2.73, 6 Ir 2.75-2.76
Os (0.0000, 0.0000, 0.4999)  8 Os 2.62-2.76, 2 Ir 2.70
Os (0.5000, 0.5000, 0.2613)  8 Os 2.62-2.76, 2 As 2.81

Its space group is Cmm2. The calculation puts the calculated formation energy at 0.64 eV per atom.

---

| no. | total magnetization (μB per atom) | calculated volume (Å³/atom) |
| --- | --- | --- |
| 1 | 0.00 | 31.360 |
| 2 | 0.46 | 19.964 |
| 3 | 0.11 | 20.685 |
| 4 | 0.00 | 12.452 |
| 5 | 0.00 | 28.403 |
| 6 | 0.00 | 17.814 |
| 7 | 0.91 | 46.640 |
| 8 | 0.18 | 28.290 |
| 9 | 0.00 | 17.877 |
| 10 | 0.21 | 15.420 |